Record 1
A relaxed Li7AcAg12 crystal, computed with PBE.

```
20
Lattice="8.143 0.000 0.000 -2.714 7.677 0.000 -2.714 -3.839 6.649" Properties=species:S:1:pos:R:3 pbc="T T T"
Ac 0.000 0.000 0.000
Ag 3.234 0.593 4.350
Ag 2.194 4.206 2.688
Ag -0.520 3.246 2.299
Li -1.357 3.839 0.000
Li 2.714 -1.919 3.324
Ag 2.195 -1.552 6.012
Li 4.072 0.000 0.000
Ag 0.519 5.391 0.637
Ag -2.194 -0.225 4.987
Li -2.714 1.919 3.324
Ag 0.520 -0.368 3.961
Ag 3.234 1.695 1.662
Li 2.714 3.839 0.000
Ag 4.909 4.064 1.662
Li 1.357 1.919 3.324
Li -1.357 -1.919 3.324
Ag -0.519 2.144 4.987
Ag -2.195 4.431 4.350
Ag 4.909 -0.592 2.299
```

Properties
ΔE_f: 3.9 kJ per mole of atoms
Space-group type: Im-3 (204)

Record 2
A relaxed Li3AcAg crystal, computed with PBE.

```
5
Lattice="5.025 0.000 0.000 0.000 5.025 0.000 0.000 0.000 5.025" Properties=species:S:1:pos:R:3 pbc="T T T"
Ac 2.512 2.512 2.512
Li 2.512 0.000 0.000
Li 0.000 2.512 0.000
Li 0.000 0.000 2.512
Ag 0.000 0.000 0.000
```

Properties
ΔE_f: 8.2 kJ per mole of atoms
Space-group type: Pm-3m (221)

Record 3
A relaxed Li2Ac3Ag4 crystal, computed with PBE.

```
9
Lattice="-1.390 3.052 3.539 1.594 -5.644 2.135 7.689 4.961 -1.258" Properties=species:S:1:pos:R:3 pbc="T T T"
Li 2.128 1.816 2.629
Li 5.764 0.553 1.787
Ac 3.051 -1.407 2.412
Ac 4.841 3.776 2.004
Ag 3.265 1.297 0.164
Ag 7.682 2.332 1.006
Ag 4.627 1.072 4.252
Ac 0.000 0.000 0.000
Ag 0.210 0.037 3.410
```

Properties
ΔE_f: -21.6 kJ per mole of atoms
Space-group type: C2/m (12)

Record 4
A relaxed LiAc4Ag crystal, computed with PBE.

```
6
Lattice="5.512 0.000 -0.002 0.000 5.513 -0.003 0.004 0.005 7.930" Properties=species:S:1:pos:R:3 pbc="T T T"
Ac 2.767 5.503 5.841
Ag 0.009 5.501 3.947
Ac 0.011 2.747 5.844
Li 2.767 2.746 7.913
Ac 2.763 5.497 2.051
Ac 0.007 2.741 2.054
```

Properties
ΔE_f: 20.3 kJ per mole of atoms
Space-group type: P4/mmm (123)

Record 5
A relaxed Li8AcAg4 crystal, computed with PBE.

```
13
Lattice="-5.453 0.716 -1.514 -1.998 -4.227 -5.546 -4.544 -4.413 3.534" Properties=species:S:1:pos:R:3 pbc="T T T"
Li -6.685 -4.012 0.687
Ag -3.725 -1.755 -3.530
Li -2.977 -1.795 -0.872
Li -5.839 -2.597 -1.690
Ag -0.999 -2.113 -2.773
Li -2.900 -4.293 -2.331
Ag -4.998 -1.849 1.010
Ag -2.272 -2.207 1.767
Li -5.311 -3.912 -4.214
Li -3.643 -4.347 0.319
Li -6.157 -5.327 -1.836
Ac 0.000 0.000 0.000
Li -9.018 -6.129 -2.654
```

Properties
ΔE_f: -13.3 kJ per mole of atoms
Space-group type: I4/mmm (139)

Record 6
A relaxed Li5Ac2Ag4 crystal, computed with PBE.

```
11
Lattice="5.602 0.000 0.000 2.801 7.242 -0.041 2.801 1.795 6.584" Properties=species:S:1:pos:R:3 pbc="T T T"
Ag 2.801 3.461 0.640
Ag 8.403 5.576 5.903
Li 6.998 3.288 5.554
Li 2.801 4.518 3.271
Li 6.998 5.749 0.989
Ac 5.602 6.829 4.337
Li 4.206 3.288 5.554
Ag 8.403 8.315 5.255
Li 4.206 5.749 0.989
Ag 2.801 0.722 1.288
Ac 5.602 2.208 2.206
```

Properties
ΔE_f: -13.0 kJ per mole of atoms
Space-group type: C2/m (12)

Record 7
A relaxed LiAc2Ag5 crystal, computed with PBE.

```
8
Lattice="6.656 0.066 0.095 -3.219 5.826 -0.095 -3.219 -2.071 5.447" Properties=species:S:1:pos:R:3 pbc="T T T"
Ac 0.150 3.861 1.304
Ag -3.205 3.549 1.485
Li -6.289 3.668 5.228
Ag -1.723 1.005 1.432
Ac 0.150 -0.088 4.074
Ag -1.743 2.696 3.842
Ag 1.990 1.108 1.580
Ag -3.205 0.189 3.842
```

Properties
ΔE_f: -11.1 kJ per mole of atoms
Space-group type: I4mm (107)

Record 8
A relaxed LiAc5Ag4 crystal, computed with PBE.

```
10
Lattice="-1.443 -1.158 3.518 -1.417 -3.316 -1.673 17.189 -9.349 3.969" Properties=species:S:1:pos:R:3 pbc="T T T"
Ac 0.399 -3.232 1.345
Ag 13.744 -7.476 3.174
Li 0.000 0.000 0.000
Ac 7.164 -6.912 2.907
Ag 10.294 -5.599 2.377
Ac 3.758 -5.059 2.121
Ag 3.445 -1.874 0.795
Ac 10.571 -8.765 3.694
Ag 6.895 -3.750 1.592
Ac 13.929 -10.591 4.469
```

Properties
ΔE_f: -18.8 kJ per mole of atoms
Space-group type: P4/mmm (123)

Result set for density of states at the Fermi level: 8.30; 5.02; 6.40; 12.14; 7.04; 6.67; 4.49; 6.98 states/eV/f.u., one per record in the order listed.